(i)
Entry from Alexandria: a geometry-optimized AlTlAs2 structure (PBE).

abc: 6.2276 9.4066 3.0530
angles: 90.00 103.20 90.00
With the nearest neighbours (Å) after each atom.
Space group C2/m (No. 12)
Asymmetric unit:
Al1 0.0000 0.0000 0.0000 (multiplicity 2)  8 As 3.03-3.37, 2 Al 3.05, 2 Tl 3.11
Tl1 0.0000 0.5000 0.0000 (multiplicity 2)  8 As 3.03-3.37, 2 Tl 3.05, 2 Al 3.11
As1 0.2500 0.2500 0.5000 (multiplicity 4)  4 Tl 3.03-3.37, 4 Al 3.03-3.37, 4 As 3.05-3.11

DOS(E_F) ... 2.81 states/eV per cell


(ii)
Entry from Alexandria: a geometry-optimized AlTlAs2 structure (PBE).

abc: 3.5362 3.5362 7.3239
angles: 90.00 90.00 90.00
With the nearest neighbours (Å) after each atom.
Space group P4/mmm (No. 123)
Asymmetric unit:
Al1 0.0000 0.0000 0.0000 (multiplicity 1)  8 As 2.80
Tl1 0.0000 0.0000 0.5000 (multiplicity 1)  8 As 3.46, 4 Tl 3.54, 2 Al 3.66
As1 0.5000 0.5000 0.1726 (multiplicity 2)  1 As 2.53, 4 Al 2.80

DOS(E_F) ... 2.10 states/eV per cell


(iii)
Entry from Alexandria: a geometry-optimized AlTlAs2 structure (PBE).

abc: 6.0353 6.0353 11.9821
angles: 90.00 90.00 90.00
With the nearest neighbours (Å) after each atom.
Space group I-42d (No. 122)
Asymmetric unit:
Al1 0.0000 0.0000 0.0000 (multiplicity 4)  4 As 2.49
Tl1 0.0000 0.0000 0.5000 (multiplicity 4)  4 As 2.74
As1 0.2144 0.2500 0.1250 (multiplicity 8)  2 Al 2.49, 2 Tl 2.74

DOS(E_F) ... 0.11 states/eV per cell


(iv)
Entry from Alexandria: a geometry-optimized AlTlAs2 structure (PBE).

abc: 3.8328 4.2029 6.2863
angles: 90.00 90.00 90.00
With the nearest neighbours (Å) after each atom.
Space group Pmm2 (No. 25)
Asymmetric unit:
Al1 0.0000 0.0000 0.0000 (multiplicity 1)  6 As 2.62-2.85
Tl1 0.0000 0.5000 0.3963 (multiplicity 1)  2 Al 3.26, 6 As 3.31-3.48
As1 0.5000 0.0000 0.7149 (multiplicity 1)  2 Al 2.62, 2 As 2.63
As2 0.5000 0.5000 0.9666 (multiplicity 1)  2 As 2.63, 4 Al 2.85

DOS(E_F) ... 1.29 states/eV per cell


Preferred: (iii); penalty for the next structure: 228 meV per atom.


(i)
Entry from Alexandria: a geometry-optimized UAlAs2 structure (PBE).

abc: 3.1622 3.1622 28.5577
angles: 90.00 90.00 120.00
With the nearest neighbours (Å) after each atom.
Space group R-3m (No. 166, hexagonal axes)
Asymmetric unit:
U1 0.0000 0.0000 0.0000 (multiplicity 3)  2 As 2.93, 6 U 3.16
Al1 0.0000 0.0000 0.5000 (multiplicity 3)  6 As 2.59
As1 0.0000 0.0000 0.1024 (multiplicity 6)  3 Al 2.59

DOS(E_F) ... 21.18 states/eV per cell


(ii)
Entry from Alexandria: a geometry-optimized UAlAs2 structure (PBE).

abc: 4.4922 4.4922 3.7340
angles: 90.00 90.00 90.00
With the nearest neighbours (Å) after each atom.
Space group P4/mmm (No. 123)
Asymmetric unit:
U1 0.0000 0.0000 0.0000 (multiplicity 1)  8 As 2.92, 4 Al 3.18
Al1 0.5000 0.5000 0.0000 (multiplicity 1)  8 As 2.92, 4 U 3.18
As1 0.0000 0.5000 0.5000 (multiplicity 2)  4 Al 2.92, 4 U 2.92, 4 As 3.18

DOS(E_F) ... 4.09 states/eV per cell


Preferred: (ii); penalty for the next structure: 715 meV per atom.


(i)
Entry from Alexandria: a geometry-optimized AlVAs structure (PBE).

abc: 7.5555 4.4248 6.8398
angles: 90.00 117.38 90.00
With the nearest neighbours (Å) after each atom.
Space group C2/m (No. 12)
Asymmetric unit:
Al1 0.0523 0.0000 0.2173 (multiplicity 4)  4 As 2.56-2.80, 4 V 2.64-2.73, 1 Al 2.70
V1 0.1598 0.5000 0.9177 (multiplicity 4)  2 As 2.53-2.72, 2 V 2.57, 4 Al 2.64-2.73
As1 0.2443 0.5000 0.3216 (multiplicity 4)  2 V 2.53-2.72, 4 Al 2.56-2.80

DOS(E_F) ... 8.15 states/eV per cell


(ii)
Entry from Alexandria: a geometry-optimized AlVAs structure (PBE).

abc: 4.3989 4.3989 2.7647
angles: 90.00 90.00 120.00
With the nearest neighbours (Å) after each atom.
Space group P-6m2 (No. 187)
Asymmetric unit:
Al1 0.0000 0.0000 0.0000 (multiplicity 1)  2 Al 2.76, 6 As 2.89, 6 V 2.89
V1 0.6667 0.3333 0.5000 (multiplicity 1)  3 As 2.54, 2 V 2.76
As1 0.3333 0.6667 0.5000 (multiplicity 1)  3 V 2.54, 2 As 2.76

DOS(E_F) ... 1.76 states/eV per cell


Preferred: (i); penalty for the next structure: 20 meV per atom.


(i)
Entry from Alexandria: a geometry-optimized AlAsW2 structure (PBE).

abc: 3.0267 3.0267 25.2417
angles: 90.00 90.00 120.00
With the nearest neighbours (Å) after each atom.
Space group R3m (No. 160, hexagonal axes)
Asymmetric unit:
Al1 0.0000 0.0000 0.0000 (multiplicity 3)  3 W 2.70, 3 As 2.93, 6 Al 3.03
As1 0.0000 0.0000 0.7599 (multiplicity 3)  3 W 2.60
W1 0.0000 0.0000 0.2516 (multiplicity 3)  3 Al 2.70, 9 W 2.71-3.03
W2 0.0000 0.0000 0.5027 (multiplicity 3)  3 As 2.60, 3 W 2.71

DOS(E_F) ... 4.14 states/eV per cell


(ii)
Entry from Alexandria: a geometry-optimized AlAsW2 structure (PBE).

abc: 3.8204 3.8204 18.6502
angles: 90.00 90.00 90.00
With the nearest neighbours (Å) after each atom.
Space group I-42d (No. 122)
Asymmetric unit:
Al1 0.0000 0.0000 0.0000 (multiplicity 4)  4 W 2.69, 4 As 2.70
As1 0.0000 0.0000 0.5000 (multiplicity 4)  4 W 2.70, 4 Al 2.70
W1 0.2478 0.2500 0.1250 (multiplicity 8)  4 W 2.69-2.71, 2 Al 2.69, 2 As 2.70

DOS(E_F) ... 9.50 states/eV per cell


Preferred: (i); penalty for the next structure: 305 meV per atom.


(i)
Entry from Alexandria: a geometry-optimized AlAsW2 structure (PBE).

abc: 6.2771 6.2771 6.2771
angles: 90.00 90.00 90.00
With the nearest neighbours (Å) after each atom.
Space group Fm-3m (No. 225)
Asymmetric unit:
Al1 0.0000 0.0000 0.0000 (multiplicity 4)  8 W 2.72
As1 0.0000 0.0000 0.5000 (multiplicity 4)  8 W 2.72
W1 0.2500 0.2500 0.2500 (multiplicity 8)  4 As 2.72, 4 Al 2.72

DOS(E_F) ... 23.31 states/eV per cell


(ii)
Entry from Alexandria: a geometry-optimized AlAsW2 structure (PBE).

abc: 3.8829 3.8829 8.4284
angles: 90.00 90.00 90.00
With the nearest neighbours (Å) after each atom.
Space group I4/mmm (No. 139)
Asymmetric unit:
Al1 0.0000 0.0000 0.0000 (multiplicity 2)  4 As 2.75, 8 W 2.87
As1 0.0000 0.0000 0.5000 (multiplicity 2)  4 Al 2.75, 8 W 2.87
W1 0.0000 0.5000 0.2500 (multiplicity 4)  4 W 2.75, 4 As 2.87, 4 Al 2.87

DOS(E_F) ... 6.51 states/eV per cell


Preferred: (i); penalty for the next structure: 103 meV per atom.


(i)
Entry from Alexandria: a geometry-optimized AlAsW structure (PBE).

abc: 5.9837 5.9837 5.9837
angles: 90.00 90.00 90.00
With the nearest neighbours (Å) after each atom.
Space group F-43m (No. 216)
Asymmetric unit:
Al1 0.0000 0.0000 0.0000 (multiplicity 4)  4 As 2.59
As1 0.2500 0.2500 0.7500 (multiplicity 4)  4 W 2.59, 4 Al 2.59
W1 0.0000 0.0000 0.5000 (multiplicity 4)  4 As 2.59

DOS(E_F) ... 1.60 states/eV per cell


(ii)
Entry from Alexandria: a geometry-optimized AlAsW structure (PBE).

abc: 4.5637 4.5637 2.7154
angles: 90.00 90.00 120.00
With the nearest neighbours (Å) after each atom.
Space group P-6m2 (No. 187)
Asymmetric unit:
Al1 0.0000 0.0000 0.0000 (multiplicity 1)  2 Al 2.72, 6 W 2.96, 6 As 2.96
As1 0.6667 0.3333 0.5000 (multiplicity 1)  3 W 2.63, 2 As 2.72
W1 0.3333 0.6667 0.5000 (multiplicity 1)  3 As 2.63, 2 W 2.72

DOS(E_F) ... 1.80 states/eV per cell


(iii)
Entry from Alexandria: a geometry-optimized AlAsW structure (PBE).

abc: 3.3162 4.7004 12.9603
angles: 90.00 90.00 90.00
With the nearest neighbours (Å) after each atom.
Space group Fmm2 (No. 42)
Asymmetric unit:
Al1 0.0000 0.0000 0.0000 (multiplicity 4)  2 W 2.67, 4 Al 2.88, 2 As 2.90
As1 0.0000 0.0000 0.6838 (multiplicity 4)  2 W 2.60, 4 As 2.88, 2 Al 2.90
W1 0.0000 0.0000 0.3386 (multiplicity 4)  2 As 2.60, 2 Al 2.67, 4 W 2.88

DOS(E_F) ... 8.66 states/eV per cell


(iv)
Entry from Alexandria: a geometry-optimized AlAsW structure (PBE).

abc: 3.0892 3.0892 6.0840
angles: 90.00 90.00 120.00
With the nearest neighbours (Å) after each atom.
Space group P3m1 (No. 156)
Asymmetric unit:
Al1 0.0000 0.0000 0.0000 (multiplicity 1)  3 W 2.72, 3 As 2.85
As1 0.6667 0.3333 0.3661 (multiplicity 1)  3 W 2.54
W1 0.3333 0.6667 0.6635 (multiplicity 1)  3 As 2.54, 3 Al 2.72

DOS(E_F) ... 1.34 states/eV per cell


Preferred: (iv); penalty for the next structure: 202 meV per atom.


(i)
Entry from Alexandria: a geometry-optimized AlAsW structure (PBE).

abc: 8.6172 3.3352 8.3155
angles: 90.00 91.53 90.00
With the nearest neighbours (Å) after each atom.
Space group C2/m (No. 12)
Asymmetric unit:
Al1 0.0623 0.0000 0.1428 (multiplicity 4)  1 Al 2.58, 2 W 2.67, 2 As 2.86
As1 0.1433 0.5000 0.6819 (multiplicity 4)  4 W 2.51-2.55
W1 0.1489 0.5000 0.3792 (multiplicity 4)  4 As 2.51-2.55, 2 Al 2.67

DOS(E_F) ... 0.74 states/eV per cell


(ii)
Entry from Alexandria: a geometry-optimized AlAsW structure (PBE).

abc: 3.3132 3.3132 8.3504
angles: 90.00 90.00 90.00
With the nearest neighbours (Å) after each atom.
Space group I4mm (No. 107)
Asymmetric unit:
Al1 0.0000 0.0000 0.0000 (multiplicity 2)  5 As 2.71-2.76, 5 W 2.73-2.75
As1 0.0000 0.0000 0.3246 (multiplicity 2)  5 W 2.66-2.91, 5 Al 2.71-2.76
W1 0.0000 0.0000 0.6731 (multiplicity 2)  5 As 2.66-2.91, 5 Al 2.73-2.75

DOS(E_F) ... 0.53 states/eV per cell


Preferred: (ii); penalty for the next structure: 324 meV per atom.


(i)
Entry from Alexandria: a geometry-optimized Al2As2W structure (PBE).

abc: 6.5422 6.5422 4.0572
angles: 90.00 90.00 90.00
With the nearest neighbours (Å) after each atom.
Space group P4/mbm (No. 127)
Asymmetric unit:
Al1 0.1677 0.3323 0.0000 (multiplicity 4)  6 As 2.68-2.87
As1 0.1422 0.6422 0.5000 (multiplicity 4)  2 W 2.52, 1 As 2.63, 2 Al 2.68
W1 0.0000 0.0000 0.5000 (multiplicity 2)  4 As 2.52

DOS(E_F) ... 4.96 states/eV per cell


(ii)
Entry from Alexandria: a geometry-optimized Al2As2W structure (PBE).

abc: 3.4182 3.4182 15.7650
angles: 90.00 90.00 90.00
With the nearest neighbours (Å) after each atom.
Space group I4/mmm (No. 139)
Asymmetric unit:
Al1 0.0000 0.5000 0.2500 (multiplicity 4)  4 Al 2.42
As1 0.0000 0.0000 0.0884 (multiplicity 4)  1 As 2.79, 4 W 2.79, 4 Al 3.07
W1 0.0000 0.0000 0.5000 (multiplicity 2)  8 As 2.79

DOS(E_F) ... 5.37 states/eV per cell


Preferred: (i); penalty for the next structure: 236 meV per atom.


(i)
Entry from Alexandria: a geometry-optimized YAlAs3 structure (PBE).

abc: 4.8636 4.8636 4.8636
angles: 90.00 90.00 90.00
With the nearest neighbours (Å) after each atom.
Space group Pm-3m (No. 221)
Asymmetric unit:
Y1 0.0000 0.0000 0.0000 (multiplicity 1)  12 As 3.44
Al1 0.5000 0.5000 0.5000 (multiplicity 1)  6 As 2.43
As1 0.0000 0.5000 0.5000 (multiplicity 3)  2 Al 2.43

DOS(E_F) ... 4.49 states/eV per cell


(ii)
Entry from Alexandria: a geometry-optimized YAlAs3 structure (PBE).

abc: 5.4150 5.4150 5.4150
angles: 90.00 90.00 90.00
With the nearest neighbours (Å) after each atom.
Space group Pm-3m (No. 221)
Asymmetric unit:
Y1 0.0000 0.0000 0.0000 (multiplicity 1)  6 As 2.71
Al1 0.5000 0.5000 0.5000 (multiplicity 1)  12 As 3.83
As1 0.0000 0.0000 0.5000 (multiplicity 3)  2 Y 2.71

DOS(E_F) ... 5.55 states/eV per cell


Preferred: (i); penalty for the next structure: 583 meV per atom.


(i)
Entry from Alexandria: a geometry-optimized YAl3As structure (PBE).

abc: 4.9288 4.9288 4.9288
angles: 90.00 90.00 90.00
With the nearest neighbours (Å) after each atom.
Space group Pm-3m (No. 221)
Asymmetric unit:
Y1 0.0000 0.0000 0.0000 (multiplicity 1)  12 Al 3.49
Al1 0.0000 0.5000 0.5000 (multiplicity 3)  2 As 2.46
As1 0.5000 0.5000 0.5000 (multiplicity 1)  6 Al 2.46

DOS(E_F) ... 3.39 states/eV per cell


(ii)
Entry from Alexandria: a geometry-optimized YAl3As structure (PBE).

abc: 5.4958 5.4958 5.4958
angles: 90.00 90.00 90.00
With the nearest neighbours (Å) after each atom.
Space group Pm-3m (No. 221)
Asymmetric unit:
Y1 0.0000 0.0000 0.0000 (multiplicity 1)  6 Al 2.75
Al1 0.0000 0.0000 0.5000 (multiplicity 3)  2 Y 2.75
As1 0.5000 0.5000 0.5000 (multiplicity 1)  12 Al 3.89

DOS(E_F) ... 6.26 states/eV per cell


Preferred: (i); penalty for the next structure: 982 meV per atom.


(i)
Entry from Alexandria: a geometry-optimized AlZn2As structure (PBE).

abc: 3.8807 4.4375 7.9301
angles: 90.00 90.00 90.00
With the nearest neighbours (Å) after each atom.
Space group Imm2 (No. 44)
Asymmetric unit:
Al1 0.0000 0.0000 0.0000 (multiplicity 2)  8 Zn 2.77-2.98, 4 As 2.78-2.97
Zn1 0.0000 0.0000 0.5057 (multiplicity 2)  4 Zn 2.75-3.00, 4 As 2.80-2.95, 4 Al 2.95
Zn2 0.0000 0.5000 0.2507 (multiplicity 2)  4 Zn 2.75-3.00, 4 Al 2.77-2.98, 4 As 2.95
As1 0.0000 0.5000 0.7510 (multiplicity 2)  4 Al 2.78-2.97, 8 Zn 2.80-2.95

DOS(E_F) ... 2.54 states/eV per cell


(ii)
Entry from Alexandria: a geometry-optimized AlZn2As structure (PBE).

abc: 3.9959 4.1476 8.1577
angles: 90.00 90.00 90.00
With the nearest neighbours (Å) after each atom.
Space group Cmmm (No. 65)
Asymmetric unit:
Al1 0.0000 0.0000 0.0000 (multiplicity 2)  8 Zn 2.76-2.82, 4 Al 2.88
Zn1 0.0000 0.5000 0.2339 (multiplicity 4)  4 Al 2.76-2.82, 4 Zn 2.88, 4 As 2.95-3.00
As1 0.0000 0.0000 0.5000 (multiplicity 2)  4 As 2.88, 8 Zn 2.95-3.00

DOS(E_F) ... 1.97 states/eV per cell


(iii)
Entry from Alexandria: a geometry-optimized AlZn2As structure (PBE).

abc: 2.9291 2.9291 7.8515
angles: 90.00 90.00 90.00
With the nearest neighbours (Å) after each atom.
Space group P4mm (No. 99)
Asymmetric unit:
Al1 0.0000 0.0000 0.0000 (multiplicity 1)  4 Zn 2.77, 4 As 2.93, 4 Al 2.93
Zn1 0.0000 0.0000 0.5373 (multiplicity 1)  8 Zn 2.74-2.93, 4 As 2.99
Zn2 0.5000 0.5000 0.7660 (multiplicity 1)  8 Zn 2.74-2.93, 4 Al 2.77
As1 0.5000 0.5000 0.2632 (multiplicity 1)  4 Al 2.93, 4 As 2.93, 4 Zn 2.99

DOS(E_F) ... 0.82 states/eV per cell


(iv)
Entry from Alexandria: a geometry-optimized AlZn2As structure (PBE).

abc: 9.3343 2.8722 5.1479
angles: 90.00 101.08 90.00
With the nearest neighbours (Å) after each atom.
Space group Cm (No. 8)
Asymmetric unit:
Al1 0.0000 0.0000 0.0000 (multiplicity 2)  3 As 2.75-2.83, 7 Zn 2.82-3.08, 2 Al 2.87
Zn1 0.0162 0.5000 0.5341 (multiplicity 2)  5 Zn 2.69-2.87, 2 Al 2.82, 3 As 2.98-3.01
Zn2 0.2583 0.0000 0.7203 (multiplicity 2)  5 Zn 2.69-2.87, 2 Al 2.82, 4 As 2.93-2.97
As1 0.2549 0.5000 0.2232 (multiplicity 2)  3 Al 2.75-2.83, 2 As 2.87, 7 Zn 2.93-3.01

DOS(E_F) ... 1.48 states/eV per cell


Preferred: (iv); penalty for the next structure: 12 meV per atom.